1.
The following is a DFT calculation (PBE) of a relaxed Pm2HgSe crystal. Values from VASP.

ρ = 8.3 g/cm³
total magnetization = 0.00 μB per cell
raw total energy = -4.45 eV per atom
raw formation energy = -1.13 eV per atom
symmetry = R-3m

Structure (Quantum ESPRESSO input):
```
&SYSTEM
  ibrav = 0, nat = 4, ntyp = 3
/
ATOMIC_SPECIES
Pm 145.00 Pm.upf
Se 78.96 Se.upf
Hg 200.59 Hg.upf
ATOMIC_POSITIONS crystal
Pm 0.242 0.242 0.273
Pm 0.758 0.758 0.727
Se 0.500 0.500 0.500
Hg 0.000 0.000 0.000
CELL_PARAMETERS angstrom
4.140 0.000 0.000
2.070 3.585 0.000
2.070 1.195 7.647
```

---

2.
The following is a DFT calculation (PBE) of a relaxed PmSn2HgSe4 crystal. Values from VASP.

ρ = 6.7 g/cm³
total magnetization = 0.00 μB per cell
raw total energy = -4.10 eV per atom
raw formation energy = -0.72 eV per atom
symmetry = P2/m

Structure (Quantum ESPRESSO input):
```
&SYSTEM
  ibrav = 0, nat = 8, ntyp = 4
/
ATOMIC_SPECIES
Hg 200.59 Hg.upf
Pm 145.00 Pm.upf
Se 78.96 Se.upf
Sn 118.71 Sn.upf
ATOMIC_POSITIONS crystal
Hg 0.500 0.500 0.000
Pm 0.000 0.500 0.500
Se 0.500 0.750 0.266
Se 0.500 0.250 0.734
Se 0.000 0.753 0.737
Se 0.000 0.247 0.263
Sn 0.500 0.000 0.500
Sn 0.000 0.000 0.000
CELL_PARAMETERS angstrom
-2.945 -2.414 -1.860
4.295 -6.032 1.028
-1.597 -3.148 6.615
```

---

3.
The following is a DFT calculation (PBE) of a relaxed Pm6Hg3TeSe2 crystal. Values from VASP.

ρ = 8.3 g/cm³
total magnetization = 0.00 μB per cell
raw total energy = -4.34 eV per atom
raw formation energy = -1.05 eV per atom
symmetry = C2/m

Structure (Quantum ESPRESSO input):
```
&SYSTEM
  ibrav = 0, nat = 12, ntyp = 4
/
ATOMIC_SPECIES
Pm 145.00 Pm.upf
Hg 200.59 Hg.upf
Te 127.60 Te.upf
Se 78.96 Se.upf
ATOMIC_POSITIONS crystal
Pm 0.329 0.434 0.657
Pm 0.669 0.096 0.337
Pm 0.991 0.746 0.983
Pm 0.009 0.254 0.017
Pm 0.671 0.566 0.343
Pm 0.331 0.904 0.663
Hg 0.500 0.500 0.000
Hg 0.839 0.176 0.677
Hg 0.161 0.824 0.323
Te 0.500 0.000 0.000
Se 0.831 0.669 0.663
Se 0.169 0.331 0.337
CELL_PARAMETERS angstrom
-3.423 -0.160 2.401
1.000 -9.017 0.826
6.565 4.545 6.014
```

---

4.
The following is a DFT calculation (PBE) of a relaxed Pm6HgTe3Se2 crystal. Values from VASP.

ρ = 7.5 g/cm³
total magnetization = 0.00 μB per cell
raw total energy = -5.16 eV per atom
raw formation energy = -1.40 eV per atom
symmetry = C2/m

Structure (Quantum ESPRESSO input):
```
&SYSTEM
  ibrav = 0, nat = 12, ntyp = 4
/
ATOMIC_SPECIES
Pm 145.00 Pm.upf
Se 78.96 Se.upf
Hg 200.59 Hg.upf
Te 127.60 Te.upf
ATOMIC_POSITIONS crystal
Pm 0.327 0.433 0.655
Pm 0.335 0.901 0.670
Pm 0.673 0.567 0.345
Pm 0.665 0.099 0.330
Pm 0.006 0.247 0.011
Pm 0.994 0.753 0.989
Se 0.168 0.333 0.335
Se 0.832 0.667 0.665
Hg 0.500 0.000 0.000
Te 0.834 0.170 0.668
Te 0.500 0.500 0.000
Te 0.166 0.830 0.332
CELL_PARAMETERS angstrom
4.286 0.000 0.000
0.000 8.935 0.232
-2.143 -2.664 9.204
```

---

> Which of these has the lowest raw total energy?

Pm6HgTe3Se2

---

> Which of these has the lowest ρ?

PmSn2HgSe4

---

> Among the records above, which one has the highest raw total energy?

PmSn2HgSe4